TcSnOs2 | PBE-GGA | optimized geometry

Output
crystal system: tetragonal
calculated total energy: -7.964 eV/atom
calculated formation energy: 1243.3 meV per atom

a b c (Å): 5.845 5.845 11.210
angles (deg): 90.00 90.00 90.00
Space group I-42d (No. 122)
Unique sites:
Tc 0.000 0.000 0.000 x4
Sn 0.000 0.000 0.500 x4
Os 0.216 0.250 0.125 x8